Material: BaAgCl3
Method: DFT, meta-GGA SCAN
State: single point on PBEsol structure

```
BaAgCl3
1.0
5.1049 0.0000 0.0000
0.0000 5.1049 0.0000
0.0000 0.0000 5.1049
Ba Ag Cl
1 1 3
direct
0.0000 0.0000 0.0000
0.5000 0.5000 0.5000
0.0000 0.5000 0.5000
0.5000 0.0000 0.5000
0.5000 0.5000 0.0000
```

Values from the calculation:
As for the density of states at the Fermi level: 0.00 states/eV/atom. As for the uncorrected formation energy: -1.73 eV per atom. The space group is Pm-3m. The calculation puts the volume at 133.0 Å³/cell. The spin magnetization comes out at 0.00 μB per formula unit.